# PBE SrRh2Br, optimized geometry
# ΔE to the lowest computed polymorph in eV per formula unit: 1.69
# Formation energy without anion corrections in meV per atom: 167
data_SrRh2Br
_cell_length_a 6.9512
_cell_length_b 6.9512
_cell_length_c 6.9512
_cell_angle_alpha 90.00
_cell_angle_beta 90.00
_cell_angle_gamma 90.00
_space_group_name_H-M_alt 'F -4 3 m'
_space_group_IT_number 216
_space_group_name_Hall 'F -4 2 3'
loop_
_atom_site_label
_atom_site_fract_x
_atom_site_fract_y
_atom_site_fract_z
_atom_site_occupancy
Sr1 0.0000 0.0000 0.0000 1
Rh1 0.0000 0.0000 0.5000 1
Rh2 0.2500 0.2500 0.7500 1
Br1 0.2500 0.2500 0.2500 1